No. 1
Compound: DyAlZnAu
Source: Alexandria
Functional: PBE-GGA
Structure: relaxed

a b c (Å): 4.770 4.770 4.770
angles (deg): 60.00 60.00 60.00
Sites, in units of the cell vectors:
1 Zn 0.000 0.000 0.000
2 Al 0.750 0.750 0.750
3 Dy 0.250 0.250 0.250
4 Au 0.500 0.500 0.500

Results
- E_tot: -15.0 eV per cell
- N(E_F): 1.884 states/eV/cell
- V: 19.18 A^3/atom
- DFT formation energy: -0.532 eV/atom


No. 2
Compound: Dy2Al3Zn4Au
Source: Alexandria
Functional: PBE-GGA
Structure: relaxed

a b c (Å): 4.127 4.127 11.032
angles (deg): 90.00 90.00 90.00
Sites, in units of the cell vectors:
1 Zn 0.000 0.500 0.354
2 Al 0.500 0.000 0.865
3 Zn 0.000 0.000 0.000
4 Al 0.000 0.000 0.500
5 Al 0.000 0.500 0.135
6 Dy 0.500 0.000 0.246
7 Dy 0.000 0.500 0.754
8 Zn 0.500 0.000 0.646
9 Zn 0.500 0.500 0.000
10 Au 0.500 0.500 0.500

Results
- E_tot: -32.7 eV per cell
- N(E_F): 6.852 states/eV/cell
- V: 18.79 A^3/atom
- DFT formation energy: -0.385 eV/atom


No. 3
Compound: DyAl2ZnAu5
Source: Alexandria
Functional: PBE-GGA
Structure: relaxed

a b c (Å): 4.769 4.769 7.993
angles (deg): 90.00 90.00 90.00
Sites, in units of the cell vectors:
1 Al 0.500 0.500 0.843
2 Al 0.500 0.500 0.157
3 Zn 0.000 0.000 0.000
4 Dy 0.000 0.000 0.500
5 Au 0.500 0.500 0.500
6 Au 0.000 0.500 0.734
7 Au 0.500 0.000 0.266
8 Au 0.500 0.000 0.734
9 Au 0.000 0.500 0.266

Results
- E_tot: -32.5 eV per cell
- N(E_F): 4.405 states/eV/cell
- V: 20.20 A^3/atom
- DFT formation energy: -0.307 eV/atom


No. 4
Compound: DyZrAlAu
Source: Alexandria
Functional: PBE-GGA
Structure: relaxed

a b c (Å): 4.986 4.986 4.986
angles (deg): 60.00 60.00 60.00
Sites, in units of the cell vectors:
1 Al 0.750 0.750 0.750
2 Zr 0.000 0.000 0.000
3 Dy 0.500 0.500 0.500
4 Au 0.250 0.250 0.250

Results
- E_tot: -21.8 eV per cell
- N(E_F): 2.569 states/eV/cell
- V: 21.91 A^3/atom
- DFT formation energy: -0.407 eV/atom